A plane-wave DFT calculation with GGA-PBE was carried out for LiNd2PuSe4 after structural relaxation.

It has space group P2/m (No. 10), with a = 7.203 Å, b = 4.178 Å, c = 7.221 Å, α = 90.00°, β = 109.81° and γ = 90.00°. The asymmetric unit holds Li at (0.000, 0.000, 0.000), Nd at (0.500, 0.000, 0.500), Nd at (0.500, 0.500, 0.000), Pu at (0.000, 0.500, 0.500), Se at (0.239, 0.500, 0.241) and Se at (0.240, 0.000, 0.751).

Its density of states at the Fermi level is 13.21 states/eV/f.u. The value obtained for the density is 6.95 g/cm3. The value obtained for the formation energy from raw total energies is -1675 meV/atom. For the energy, the calculation gives -53.12 eV/f.u.

A plane-wave DFT calculation with GGA-PBE was carried out for Ce2ErSc4 after structural relaxation.

It has space group I4/mmm (No. 139), with a = 5.209 Å, b = 5.209 Å, c = 16.129 Å, α = 90.00°, β = 90.00° and γ = 90.00°. The asymmetric unit holds Ce at (0.000, 0.000, 0.128), Er at (0.000, 0.000, 0.500), Sc at (0.000, 0.000, 0.321) and Sc at (0.000, 0.500, 0.000).

Its density of states at the Fermi level is 20.21 states/eV/f.u. The calculation puts the formation energy at 0.764 eV/atom. The value obtained for the density is 4.76 g/cm3. For the energy, the calculation gives -36.41 eV/f.u.

A plane-wave DFT calculation with GGA-PBE was carried out for PuReH6 after structural relaxation.

It has space group C2/m (No. 12), with a = 7.521 Å, b = 4.349 Å, c = 4.669 Å, α = 90.00°, β = 122.64° and γ = 90.00°. The asymmetric unit holds Pu at (0.000, 0.000, 0.000), Re at (0.000, 0.500, 0.500), H at (0.099, 0.500, 0.237) and H at (0.181, 0.220, 0.764).

Its density of states at the Fermi level is 6.27 states/eV/f.u. The value obtained for the density is 11.27 g/cm3. For the energy, the calculation gives -46.78 eV/f.u.

A plane-wave DFT calculation with GGA-PBE was carried out for NaAgSe after structural relaxation.

It has space group C2/m (No. 12), with a = 8.123 Å, b = 4.557 Å, c = 8.242 Å, α = 90.00°, β = 105.43° and γ = 90.00°. The asymmetric unit holds Na at (0.104, 0.000, 0.348), Ag at (0.198, 0.500, 0.101) and Se at (0.098, 0.500, 0.759).

Its density of states at the Fermi level is 0.17 states/eV/f.u. The value obtained for the density is 4.74 g/cm3. The value obtained for the formation energy from raw total energies is -498 meV/atom. For the energy, the calculation gives -9.15 eV/f.u.

A plane-wave DFT calculation with GGA-PBE was carried out for CaCe2Sn after structural relaxation.

It has space group R-3m (No. 166, hexagonal axes), with a = 3.3592 Å, b = 3.3592 Å, c = 36.7398 Å, α = 90.00°, β = 90.00° and γ = 120.00°. The asymmetric unit holds Ca at (0.0000, 0.0000, 0.0000), Ce at (0.0000, 0.0000, 0.0922) and Sn at (0.0000, 0.0000, 0.5000).

Its density of states at the Fermi level is 9.78 states/eV/f.u. The calculation puts the formation energy at 0.020 eV/atom. The value obtained for the density is 6.09 g/cm3. For the energy, the calculation gives -17.79 eV/f.u.

A plane-wave DFT calculation with GGA-PBE was carried out for Cr2PbI after structural relaxation.

It has space group I-42d (No. 122), with a = 7.784 Å, b = 7.784 Å, c = 6.820 Å, α = 90.00°, β = 90.00° and γ = 90.00°. The asymmetric unit holds Cr at (0.247, 0.750, 0.125), Pb at (0.000, 0.000, 0.500) and I at (0.000, 0.000, 0.000).

Its density of states at the Fermi level is 2.24 states/eV/f.u. The value obtained for the density is 7.04 g/cm3. The value obtained for the formation energy from raw total energies is 747 meV/atom. For the energy, the calculation gives -21.52 eV/f.u.

A plane-wave DFT calculation with GGA-PBE was carried out for Zn3CuNi5 after structural relaxation.

It has space group P-62m (No. 189), with a = 6.9419 Å, b = 6.9419 Å, c = 2.5674 Å, α = 90.00°, β = 90.00° and γ = 120.00°. The asymmetric unit holds Zn at (0.0000, 0.6352, 0.0000), Cu at (0.0000, 0.0000, 0.0000), Ni at (0.0000, 0.3060, 0.5000) and Ni at (0.3333, 0.6667, 0.5000).

Its density of states at the Fermi level is 9.53 states/eV/f.u. The calculation puts the formation energy at -0.093 eV/atom. The value obtained for the density is 8.57 g/cm3. For the energy, the calculation gives -37.66 eV/f.u.

A plane-wave DFT calculation with GGA-PBE was carried out for Sm3Ho8Er2 after structural relaxation.

It has space group C2/m (No. 12), with a = 20.654 Å, b = 5.010 Å, c = 7.933 Å, α = 90.00°, β = 94.36° and γ = 90.00°. The asymmetric unit holds Sm at (0.000, 0.000, 0.000), Sm at (0.039, 0.500, 0.307), Ho at (0.078, 0.000, 0.615), Ho at (0.117, 0.500, 0.922), Ho at (0.156, 0.000, 0.230), Ho at (0.193, 0.500, 0.539) and Er at (0.231, 0.000, 0.846).

Its density of states at the Fermi level is 17.42 states/eV/f.u. The calculation puts the formation energy at 0.021 eV/atom. The value obtained for the density is 8.54 g/cm3. For the energy, the calculation gives -59.63 eV/f.u.

A plane-wave DFT calculation with GGA-PBE was carried out for Tl3PtO after structural relaxation.

It has space group Pm-3m (No. 221), with a = 4.891 Å, b = 4.891 Å, c = 4.891 Å, α = 90.00°, β = 90.00° and γ = 90.00°. The asymmetric unit holds Tl at (0.000, 0.000, 0.500), Pt at (0.500, 0.500, 0.500) and O at (0.000, 0.000, 0.000).

Its density of states at the Fermi level is 3.18 states/eV/f.u. The value obtained for the density is 11.70 g/cm3. The value obtained for the formation energy from raw total energies is 119 meV/atom. For the energy, the calculation gives -17.50 eV/f.u.

A plane-wave DFT calculation with GGA-PBE was carried out for Ba3VW after structural relaxation.

It has space group Pm-3m (No. 221), with a = 5.989 Å, b = 5.989 Å, c = 5.989 Å, α = 90.00°, β = 90.00° and γ = 90.00°. The asymmetric unit holds Ba at (0.000, 0.000, 0.500), V at (0.000, 0.000, 0.000) and W at (0.500, 0.500, 0.500).

Its density of states at the Fermi level is 8.23 states/eV/f.u. The calculation puts the formation energy at 1.717 eV/atom. The value obtained for the density is 5.00 g/cm3. For the energy, the calculation gives -19.25 eV/f.u.

A plane-wave DFT calculation with GGA-PBE was carried out for TmPaCrS6 after structural relaxation.

It has space group P312 (No. 149), with a = 6.3857 Å, b = 6.3857 Å, c = 5.7988 Å, α = 90.00°, β = 90.00° and γ = 120.00°. The asymmetric unit holds Tm at (0.0000, 0.0000, 0.0000), Pa at (0.6667, 0.3333, 0.5000), Cr at (0.3333, 0.6667, 0.0000) and S at (0.0259, 0.3681, 0.2421).

Its density of states at the Fermi level is 4.61 states/eV/f.u. The value obtained for the density is 5.23 g/cm3. The value obtained for the formation energy from raw total energies is -1184 meV/atom. For the energy, the calculation gives -59.01 eV/f.u.

A plane-wave DFT calculation with GGA-PBE was carried out for SrPb6 after structural relaxation.

It has space group Im-3m (No. 229), with a = 8.593 Å, b = 8.593 Å, c = 8.593 Å, α = 90.00°, β = 90.00° and γ = 90.00°. The asymmetric unit holds Sr at (0.000, 0.000, 0.000) and Pb at (0.000, 0.250, 0.500).

Its density of states at the Fermi level is 4.12 states/eV/f.u. The calculation puts the formation energy at 0.263 eV/atom. The value obtained for the density is 6.97 g/cm3. For the energy, the calculation gives -22.09 eV/f.u.

A plane-wave DFT calculation with GGA-PBE was carried out for NaBiSe2 after structural relaxation.

It has space group I-42d (No. 122), with a = 6.715 Å, b = 6.715 Å, c = 13.109 Å, α = 90.00°, β = 90.00° and γ = 90.00°. The asymmetric unit holds Na at (0.000, 0.000, 0.000), Bi at (0.000, 0.000, 0.500) and Se at (0.238, 0.250, 0.625).

Its density of states at the Fermi level is 0.00 states/eV/f.u. The value obtained for the density is 4.38 g/cm3. The value obtained for the formation energy from raw total energies is -575 meV/atom. For the energy, the calculation gives -14.47 eV/f.u.

A plane-wave DFT calculation with GGA-PBE was carried out for Co2BiPI after structural relaxation.

It has space group P4/mmm (No. 123), with a = 4.652 Å, b = 4.652 Å, c = 5.423 Å, α = 90.00°, β = 90.00° and γ = 90.00°. The asymmetric unit holds Co at (0.000, 0.500, 0.000), Bi at (0.000, 0.000, 0.500), P at (0.500, 0.500, 0.500) and I at (0.500, 0.500, 0.000).

Its density of states at the Fermi level is 8.75 states/eV/f.u. The value obtained for the density is 6.86 g/cm3. The value obtained for the formation energy from raw total energies is 1285 meV/atom. For the energy, the calculation gives -18.63 eV/f.u.

A plane-wave DFT calculation with GGA-PBE was carried out for Mn4AlZn after structural relaxation.

It has space group F-43m (No. 216), with a = 6.639 Å, b = 6.639 Å, c = 6.639 Å, α = 90.00°, β = 90.00° and γ = 90.00°. The asymmetric unit holds Mn at (0.125, 0.125, 0.125), Al at (0.000, 0.000, 0.500) and Zn at (0.250, 0.250, 0.750).

Its density of states at the Fermi level is 6.38 states/eV/f.u. The calculation puts the formation energy at 0.125 eV/atom. The value obtained for the density is 7.09 g/cm3. For the energy, the calculation gives -40.95 eV/f.u.

A plane-wave DFT calculation with GGA-PBE was carried out for YIr3 after structural relaxation.

It has space group Pmmn (No. 59, origin choice 2), with a = 4.545 Å, b = 5.774 Å, c = 5.451 Å, α = 90.00°, β = 90.00° and γ = 90.00°. The asymmetric unit holds Y at (0.250, 0.250, 0.132), Ir at (0.250, 0.017, 0.634) and Ir at (0.250, 0.750, 0.244).

Its density of states at the Fermi level is 4.99 states/eV/f.u. The calculation puts the formation energy at -0.313 eV/atom. The value obtained for the density is 15.45 g/cm3. For the energy, the calculation gives -34.30 eV/f.u.

A plane-wave DFT calculation with GGA-PBE was carried out for CaPaTlO6 after structural relaxation.

It has space group P312 (No. 149), with a = 5.7624 Å, b = 5.7624 Å, c = 4.7986 Å, α = 90.00°, β = 90.00° and γ = 120.00°. The asymmetric unit holds Ca at (0.0000, 0.0000, 0.0000), Pa at (0.6667, 0.3333, 0.5000), Tl at (0.3333, 0.6667, 0.0000) and O at (0.3600, 0.0144, 0.2496).

Its density of states at the Fermi level is 9.05 states/eV/f.u. The value obtained for the density is 6.88 g/cm3. The value obtained for the formation energy from raw total energies is -1993 meV/atom. For the energy, the calculation gives -61.55 eV/f.u.

A plane-wave DFT calculation with GGA-PBE was carried out for Pu2GaAu6 after structural relaxation.

It has space group P-3m1 (No. 164), with a = 6.2363 Å, b = 6.2363 Å, c = 5.6780 Å, α = 90.00°, β = 90.00° and γ = 120.00°. The asymmetric unit holds Pu at (0.3333, 0.6667, 0.1635), Ga at (0.0000, 0.0000, 0.0000) and Au at (0.1801, 0.3601, 0.6880).

Its density of states at the Fermi level is 28.33 states/eV/f.u. The calculation puts the formation energy at -0.365 eV/atom. The value obtained for the density is 15.10 g/cm3. For the energy, the calculation gives -54.64 eV/f.u.

A plane-wave DFT calculation with GGA-PBE was carried out for AgPtAu6 after structural relaxation.

It has space group P4/mmm (No. 123), with a = 5.767 Å, b = 5.767 Å, c = 4.244 Å, α = 90.00°, β = 90.00° and γ = 90.00°. The asymmetric unit holds Ag at (0.000, 0.000, 0.000), Pt at (0.500, 0.500, 0.000), Au at (0.000, 0.500, 0.000) and Au at (0.252, 0.252, 0.500).

Its density of states at the Fermi level is 1.70 states/eV/f.u. The calculation puts the formation energy at -0.006 eV/atom. The value obtained for the density is 17.47 g/cm3. For the energy, the calculation gives -28.61 eV/f.u.

A plane-wave DFT calculation with GGA-PBE was carried out for TiGaRh2 after structural relaxation.

It has space group P4/mmm (No. 123), with a = 3.158 Å, b = 3.158 Å, c = 5.826 Å, α = 90.00°, β = 90.00° and γ = 90.00°. The asymmetric unit holds Ti at (0.000, 0.000, 0.000), Ga at (0.000, 0.000, 0.500) and Rh at (0.500, 0.500, 0.250).

Its density of states at the Fermi level is 2.07 states/eV/f.u. The calculation puts the formation energy at -0.792 eV/atom. The value obtained for the density is 9.24 g/cm3. For the energy, the calculation gives -28.79 eV/f.u.